Ac4Pb2I3: optimized geometry, PBE.

Properties
The total DFT energy (no corrections) is -3.916 eV per atom. The raw formation energy is -0.750 eV per atom.

Cell lengths 6.6451, 11.0074, 11.0074 Å; angles 65.31, 83.40, 83.40 degrees
Last column: nearest neighbours and their distance in Å.
Fractional coordinates of all 18 atoms:
Ac1 0.4832 0.9148 0.2738  5 I 3.38-3.55, 2 Pb 3.39-3.47
Ac2 0.0168 0.7262 0.0852  5 I 3.38-3.55, 2 Pb 3.39-3.47
Ac3 0.5168 0.0852 0.7262  5 I 3.38-3.55, 2 Pb 3.39-3.47
Ac4 0.9832 0.2738 0.9148  5 I 3.38-3.55, 2 Pb 3.39-3.47
Ac5 0.0922 0.2113 0.4566  4 Pb 3.40-3.70, 2 I 3.54-3.57
Ac6 0.4078 0.5434 0.7887  4 Pb 3.40-3.70, 2 I 3.54-3.57
Ac7 0.9078 0.7887 0.5434  4 Pb 3.40-3.70, 2 I 3.54-3.57
Ac8 0.5922 0.4566 0.2113  4 Pb 3.40-3.70, 2 I 3.54-3.57
Pb1 0.6400 0.1214 0.4063  1 Pb 3.24, 4 Ac 3.39-3.47
Pb2 0.8600 0.5937 0.8786  1 Pb 3.24, 4 Ac 3.39-3.47
Pb3 0.3600 0.8786 0.5937  1 Pb 3.24, 4 Ac 3.39-3.47
Pb4 0.1400 0.4063 0.1214  1 Pb 3.24, 4 Ac 3.39-3.47
I1 0.9952 0.9752 0.1941  5 Ac 3.38-3.54
I2 0.5048 0.8059 0.0248  5 Ac 3.38-3.54
I3 0.0048 0.0248 0.8059  5 Ac 3.38-3.54
I4 0.4952 0.1941 0.9752  5 Ac 3.38-3.54
I5 0.2500 0.6077 0.3923  4 Ac 3.55-3.57
I6 0.7500 0.3923 0.6077  4 Ac 3.55-3.57